Record 1
PBE YMg2Ru, optimized geometry; crystal system = tetragonal; magnetization = 0.00 μB/f.u.; SG = P4mm (99); E_tot = -4.861 eV per atom; E_form = -129 meV per atom
1.0
3.390 0.000 0.000
0.000 3.390 0.000
0.000 0.000 7.500
Y Mg Ru
1 2 1
Cartesian
0.000 0.000 0.000
0.000 0.000 4.488
1.695 1.695 2.584
1.695 1.695 5.873

---

Record 2
PBE Y4MgRu, optimized geometry; crystal system = cubic; magnetization = 1.68 μB/f.u.; SG = F-43m (216); E_tot = -5.436 eV per atom; E_form = 685 meV per atom
1.0
0.000 4.348 4.348
4.348 0.000 4.348
4.348 4.348 0.000
Y Mg Ru
4 1 1
Cartesian
3.271 3.271 3.271
5.426 5.426 3.271
5.426 3.271 5.426
3.271 5.426 5.426
0.000 0.000 0.000
6.523 6.523 6.523

---

Record 3
PBE YMg2Ru, optimized geometry; crystal system = monoclinic; magnetization = 0.00 μB/f.u.; SG = Pm (6); E_tot = -4.766 eV per atom; E_form = -34 meV per atom
1.0
3.511 0.000 0.000
0.000 4.196 0.000
-1.748 0.000 5.844
Y Mg Ru
1 2 1
Cartesian
0.000 0.000 0.000
0.010 0.000 3.247
1.760 2.098 2.127
0.004 2.098 4.870